#a
Crystalline ZrAsOsO at its relaxed geometry, computed with PBE-GGA.

As for the volume: 16.39 A^3/atom.

The space group is Pmc2_1 (No. 26) and the conventional cell measures 4.252, 5.593 and 5.514 Å, with angles of 90.00, 90.00 and 90.00 degrees. The asymmetric unit holds Zr at (0.000, 0.240, 0.000), As at (0.000, 0.261, 0.503), Os at (0.500, 0.458, 0.696) and O at (0.500, 0.218, 0.983).

***

#b
Crystalline ZrAsOsO at its relaxed geometry, computed with PBE-GGA.

As for the volume: 14.55 A^3/atom.

The space group is P4/nmm (No. 129, origin choice 2) and the conventional cell measures 4.105, 4.105 and 6.907 Å, with angles of 90.00, 90.00 and 90.00 degrees. The asymmetric unit holds Zr at (0.250, 0.750, 0.000), As at (0.250, 0.250, 0.274), Os at (0.250, 0.250, 0.650) and O at (0.250, 0.750, 0.500).

***

Q: Which of them is the most stable? A: #a.

***

#a
Crystalline AsPPdO at its relaxed geometry, computed with PBE-GGA.

As for the volume: 17.16 A^3/atom.

The space group is Pmc2_1 (No. 26) and the conventional cell measures 3.579, 6.322 and 6.067 Å, with angles of 90.00, 90.00 and 90.00 degrees. The asymmetric unit holds As at (0.000, 0.185, 0.000), P at (0.000, 0.174, 0.394), Pd at (0.500, 0.328, 0.549) and O at (0.500, 0.288, 0.951).

***

#b
Crystalline AsPPdO at its relaxed geometry, computed with PBE-GGA.

As for the volume: 16.13 A^3/atom.

The space group is Pmc2_1 (No. 26) and the conventional cell measures 3.419, 6.573 and 5.743 Å, with angles of 90.00, 90.00 and 90.00 degrees. The asymmetric unit holds As at (0.000, 0.219, 0.000), P at (0.500, 0.380, 0.765), Pd at (0.500, 0.292, 0.375) and O at (0.000, 0.039, 0.431).

***

#c
Crystalline AsPPdO at its relaxed geometry, computed with PBE-GGA.

As for the volume: 17.88 A^3/atom.

The space group is P4/nmm (No. 129, origin choice 2) and the conventional cell measures 4.334, 4.334 and 7.617 Å, with angles of 90.00, 90.00 and 90.00 degrees. The asymmetric unit holds As at (0.250, 0.750, 0.000), P at (0.250, 0.250, 0.146), Pd at (0.250, 0.250, 0.448) and O at (0.250, 0.750, 0.500).

***

Q: Which of them is the most stable? A: #b.

***

#a
Crystalline PmAsPO at its relaxed geometry, computed with PBE-GGA.

As for the volume: 18.21 A^3/atom.

The space group is P4/nmm (No. 129, origin choice 2) and the conventional cell measures 5.425, 5.425 and 4.949 Å, with angles of 90.00, 90.00 and 90.00 degrees. The asymmetric unit holds Pm at (0.250, 0.750, 0.000), As at (0.250, 0.250, 0.495), P at (0.250, 0.250, 0.034) and O at (0.250, 0.750, 0.500).

***

#b
Crystalline PmAsPO at its relaxed geometry, computed with PBE-GGA.

As for the volume: 27.52 A^3/atom.

The space group is Pmc2_1 (No. 26) and the conventional cell measures 5.195, 6.857 and 6.181 Å, with angles of 90.00, 90.00 and 90.00 degrees. The asymmetric unit holds Pm at (0.000, 0.184, 0.000), As at (0.500, 0.317, 0.571), P at (0.500, 0.374, 0.938) and O at (0.000, 0.074, 0.317).

***

Q: Which of them is the most stable? A: #b.

***

#a
Crystalline PmAsPO at its relaxed geometry, computed with PBE-GGA.

As for the volume: 20.47 A^3/atom.

The space group is Pmc2_1 (No. 26) and the conventional cell measures 4.296, 6.115 and 6.234 Å, with angles of 90.00, 90.00 and 90.00 degrees. The asymmetric unit holds Pm at (0.000, 0.248, 0.000), As at (0.500, 0.358, 0.598), P at (0.000, 0.233, 0.468) and O at (0.500, 0.208, 0.860).

***

#b
Crystalline PmAsPO at its relaxed geometry, computed with PBE-GGA.

As for the volume: 17.65 A^3/atom.

The space group is P4/nmm (No. 129, origin choice 2) and the conventional cell measures 4.581, 4.581 and 6.729 Å, with angles of 90.00, 90.00 and 90.00 degrees. The asymmetric unit holds Pm at (0.250, 0.250, 0.122), As at (0.250, 0.750, 0.500), P at (0.250, 0.250, 0.629) and O at (0.250, 0.750, 0.000).

***

Q: Which of them is the most stable? A: #b.

***

#a
Crystalline AsPPtO at its relaxed geometry, computed with PBE-GGA.

As for the volume: 15.98 A^3/atom.

The space group is P4/nmm (No. 129, origin choice 2) and the conventional cell measures 3.915, 3.915 and 8.341 Å, with angles of 90.00, 90.00 and 90.00 degrees. The asymmetric unit holds As at (0.250, 0.250, 0.107), P at (0.250, 0.250, 0.670), Pt at (0.250, 0.750, 0.500) and O at (0.250, 0.750, 0.000).

***

#b
Crystalline AsPPtO at its relaxed geometry, computed with PBE-GGA.

As for the volume: 16.14 A^3/atom.

The space group is Pmc2_1 (No. 26) and the conventional cell measures 3.405, 6.619 and 5.728 Å, with angles of 90.00, 90.00 and 90.00 degrees. The asymmetric unit holds As at (0.000, 0.217, 0.000), P at (0.500, 0.374, 0.750), Pt at (0.500, 0.301, 0.357) and O at (0.000, 0.042, 0.445).

***

#c
Crystalline AsPPtO at its relaxed geometry, computed with PBE-GGA.

As for the volume: 15.24 A^3/atom.

The space group is P4/nmm (No. 129, origin choice 2) and the conventional cell measures 4.540, 4.540 and 5.917 Å, with angles of 90.00, 90.00 and 90.00 degrees. The asymmetric unit holds As at (0.250, 0.750, 0.000), P at (0.250, 0.250, 0.151), Pt at (0.250, 0.250, 0.535) and O at (0.250, 0.750, 0.500).

***

#d
Crystalline AsPPtO at its relaxed geometry, computed with PBE-GGA.

As for the volume: 17.77 A^3/atom.

The space group is Pmc2_1 (No. 26) and the conventional cell measures 3.606, 6.458 and 6.105 Å, with angles of 90.00, 90.00 and 90.00 degrees. The asymmetric unit holds As at (0.000, 0.193, 0.000), P at (0.000, 0.164, 0.399), Pt at (0.500, 0.265, 0.581) and O at (0.500, 0.296, 0.957).

***

Q: Which of them is the most stable? A: #b.

***

#a
Crystalline SmAsPO at its relaxed geometry, computed with PBE-GGA.

As for the volume: 20.30 A^3/atom.

The space group is Pmc2_1 (No. 26) and the conventional cell measures 4.290, 6.095 and 6.210 Å, with angles of 90.00, 90.00 and 90.00 degrees. The asymmetric unit holds Sm at (0.000, 0.247, 0.000), As at (0.500, 0.359, 0.599), P at (0.000, 0.233, 0.468) and O at (0.500, 0.208, 0.862).

***

#b
Crystalline SmAsPO at its relaxed geometry, computed with PBE-GGA.

As for the volume: 27.25 A^3/atom.

The space group is Pmc2_1 (No. 26) and the conventional cell measures 5.136, 6.872 and 6.177 Å, with angles of 90.00, 90.00 and 90.00 degrees. The asymmetric unit holds Sm at (0.000, 0.182, 0.000), As at (0.500, 0.317, 0.573), P at (0.500, 0.375, 0.940) and O at (0.000, 0.073, 0.315).

***

Q: Which of them is the most stable? A: #b.